No. 1
The following is a PBE-GGA calculation of an optimized crystal structure of LiNd3Pu3S8, from the Alexandria database.

Lattice parameters (Å, degrees): 7.973 7.973 7.971 119.87 119.87 60.06
Fractional positions:
Li1 0.000 0.000 0.000
Nd1 0.000 0.000 0.500
Nd2 0.000 0.500 0.500
Nd3 0.500 0.000 0.500
Pu1 0.000 0.500 0.000
Pu2 0.500 0.000 0.000
Pu3 0.500 0.500 0.000
S1 0.244 0.244 0.236
S2 0.244 0.752 0.238
S3 0.248 0.756 0.762
S4 0.253 0.253 0.759
S5 0.747 0.747 0.241
S6 0.752 0.244 0.238
S7 0.756 0.248 0.762
S8 0.756 0.756 0.764

Results
Energy relative to the elements, uncorrected in eV per atom: -1.791

No. 2
The following is a PBE-GGA calculation of an optimized crystal structure of Cd6In8Hg, from the Alexandria database.

Lattice parameters (Å, degrees): 7.469 7.469 8.443 90.00 90.00 120.00
Fractional positions:
Cd1 0.097 0.682 0.399
Cd2 0.318 0.415 0.399
Cd3 0.415 0.097 0.601
Cd4 0.585 0.903 0.399
Cd5 0.682 0.585 0.601
Cd6 0.903 0.318 0.601
In1 0.089 0.376 0.106
In2 0.287 0.911 0.106
In3 0.333 0.667 0.754
In4 0.376 0.287 0.894
In5 0.624 0.713 0.106
In6 0.667 0.333 0.246
In7 0.713 0.089 0.894
In8 0.911 0.624 0.894
Hg1 0.000 0.000 0.500

Results
Energy of formation in meV per atom: 67

Number 1: electronic total energy -7.94 eV/atom. Number 2: electronic total energy -1.78 eV/atom.